8
Lattice="-2.179 2.179 2.881 2.179 -2.179 2.881 2.179 2.179 -2.881" Properties=species:S:1:pos:R:3 comment="PBE H2RuN, relaxed" spacegroup="I4_1/amd (141)" relative_energy_mev_per_atom=0 magmom_total_mub_per_fu=0.00 pbc="T T T"
H 0.000 0.000 0.000
H 1.089 1.089 -1.441
H 1.089 -1.089 1.441
H 0.000 2.179 0.000
Ru 2.179 1.089 0.720
Ru 0.000 1.089 2.161
N 2.179 -1.089 2.161
N 0.000 3.268 0.720